[1]
LiH4CN3 | GGA-PBE | optimized geometry

Computed properties:
uncorrected energy	-5.892	eV per atom
total magnetization	0.0000	μB/atom

Lattice parameters (Å, degrees): 4.5575 7.4094 9.1199 77.47 90.00 90.00
Atoms (fractional coordinates):
Li (0.8806, 0.1481, 0.5197)
Li (0.3806, 0.8519, 0.9803)
Li (0.1194, 0.8519, 0.4803)
Li (0.6194, 0.1481, 0.0197)
H (0.3690, 0.3108, 0.5083)
H (0.8690, 0.6892, 0.9917)
H (0.6310, 0.6892, 0.4917)
H (0.1310, 0.3108, 0.0083)
H (0.6163, 0.4321, 0.3833)
H (0.1163, 0.5679, 0.1167)
H (0.3837, 0.5679, 0.6167)
H (0.8837, 0.4321, 0.8833)
H (0.5903, 0.4170, 0.1513)
H (0.0903, 0.5830, 0.3487)
H (0.4097, 0.5830, 0.8487)
H (0.9097, 0.4170, 0.6513)
H (0.0664, 0.0862, 0.2529)
H (0.5664, 0.9138, 0.2471)
H (0.9336, 0.9138, 0.7471)
H (0.4336, 0.0862, 0.7529)
C (0.3663, 0.2452, 0.3022)
C (0.8663, 0.7548, 0.1978)
C (0.6337, 0.7548, 0.6978)
C (0.1337, 0.2452, 0.8022)
N (0.5100, 0.3083, 0.4189)
N (0.0100, 0.6917, 0.0811)
N (0.4900, 0.6917, 0.5811)
N (0.9900, 0.3083, 0.9189)
N (0.4397, 0.3127, 0.1583)
N (0.9397, 0.6873, 0.3417)
N (0.5603, 0.6873, 0.8417)
N (0.0603, 0.3127, 0.6583)
N (0.1628, 0.1149, 0.3470)
N (0.6628, 0.8851, 0.1530)
N (0.8372, 0.8851, 0.6530)
N (0.3372, 0.1149, 0.8470)


[2]
Li2H12C8N2O13 | GGA-PBE | optimized geometry

Computed properties:
uncorrected energy	-6.329	eV per atom
total magnetization	0.0000	μB/atom

Lattice parameters (Å, degrees): 11.8320 7.4925 8.9769 72.73 90.00 90.00
Atoms (fractional coordinates):
Li (0.7500, 0.4076, 0.9165)
Li (0.2500, 0.5924, 0.0835)
Li (0.7500, 0.8274, 0.9548)
Li (0.2500, 0.1726, 0.0452)
H (0.9552, 0.2476, 0.9854)
H (0.0448, 0.7524, 0.0146)
H (0.4552, 0.7524, 0.0146)
H (0.5448, 0.2476, 0.9854)
H (0.8167, 0.9812, 0.1648)
H (0.1833, 0.0188, 0.8352)
H (0.3167, 0.0188, 0.8352)
H (0.6833, 0.9812, 0.1648)
H (0.8170, 0.6404, 0.6434)
H (0.1830, 0.3596, 0.3566)
H (0.3170, 0.3596, 0.3566)
H (0.6830, 0.6404, 0.6434)
H (0.3151, 0.4917, 0.8465)
H (0.6849, 0.5083, 0.1535)
H (0.8151, 0.5083, 0.1535)
H (0.1849, 0.4917, 0.8465)
H (0.4482, 0.1655, 0.5990)
H (0.5518, 0.8345, 0.4010)
H (0.9482, 0.8345, 0.4010)
H (0.0518, 0.1655, 0.5990)
H (0.9583, 0.4176, 0.8359)
H (0.0417, 0.5824, 0.1641)
H (0.4583, 0.5824, 0.1641)
H (0.5417, 0.4176, 0.8359)
C (0.8486, 0.2345, 0.5119)
C (0.1514, 0.7655, 0.4881)
C (0.3486, 0.7655, 0.4881)
C (0.6514, 0.2345, 0.5119)
C (0.8486, 0.0977, 0.6604)
C (0.1514, 0.9023, 0.3396)
C (0.3486, 0.9023, 0.3396)
C (0.6514, 0.0977, 0.6604)
C (0.9501, 0.3262, 0.4127)
C (0.0499, 0.6738, 0.5873)
C (0.4501, 0.6738, 0.5873)
C (0.5499, 0.3262, 0.4127)
C (0.9474, 0.9998, 0.7625)
C (0.0526, 0.0002, 0.2375)
C (0.4474, 0.0002, 0.2375)
C (0.5526, 0.9998, 0.7625)
N (0.7500, 0.2964, 0.4436)
N (0.2500, 0.7036, 0.5564)
N (0.7500, 0.0339, 0.7272)
N (0.2500, 0.9661, 0.2728)
O (0.7500, 0.6040, 0.7102)
O (0.2500, 0.3960, 0.2898)
O (0.7500, 0.5474, 0.0818)
O (0.2500, 0.4526, 0.9182)
O (0.4497, 0.0471, 0.7159)
O (0.5503, 0.9529, 0.2841)
O (0.9497, 0.9529, 0.2841)
O (0.0503, 0.0471, 0.7159)
O (0.4493, 0.2853, 0.4697)
O (0.5507, 0.7147, 0.5303)
O (0.9493, 0.7147, 0.5303)
O (0.0507, 0.2853, 0.4697)
O (0.9254, 0.8749, 0.8848)
O (0.0746, 0.1251, 0.1152)
O (0.4254, 0.1251, 0.1152)
O (0.5746, 0.8749, 0.8848)
O (0.9068, 0.3222, 0.9006)
O (0.0932, 0.6778, 0.0994)
O (0.4068, 0.6778, 0.0994)
O (0.5932, 0.3222, 0.9006)
O (0.7500, 0.9839, 0.0993)
O (0.2500, 0.0161, 0.9006)
O (0.9329, 0.4374, 0.2810)
O (0.0671, 0.5626, 0.7190)
O (0.4329, 0.5626, 0.7190)
O (0.5671, 0.4374, 0.2810)


[3]
LiH3C2O5 | GGA-PBE | optimized geometry

Computed properties:
uncorrected energy	-6.280	eV per atom
total magnetization	0.0000	μB/atom

Lattice parameters (Å, degrees): 3.5434 5.1856 6.1594 79.08 84.84 78.40
Atoms (fractional coordinates):
Li (0.9253, 0.1337, 0.3014)
H (0.6377, 0.3501, 0.7297)
H (0.3039, 0.5020, 0.3464)
H (0.3644, 0.4555, 0.1007)
C (0.9946, 0.9944, 0.8051)
C (0.2119, 0.7585, 0.6922)
O (0.0109, 0.9960, 0.0032)
O (0.7995, 0.1832, 0.6602)
O (0.1716, 0.7748, 0.4893)
O (0.4170, 0.5680, 0.8182)
O (0.3626, 0.3575, 0.2558)


[4]
LiH3CO3 | GGA-PBE | optimized geometry

Computed properties:
uncorrected energy	-5.754	eV per atom
total magnetization	0.0000	μB/atom

Lattice parameters (Å, degrees): 4.8376 6.6578 10.0327 90.00 90.00 90.00
Atoms (fractional coordinates):
C (0.2499, 0.8870, 0.1975)
C (0.7499, 0.1130, 0.8025)
C (0.2499, 0.6130, 0.6975)
C (0.7499, 0.3870, 0.3025)
H (0.3724, 0.8332, 0.2841)
H (0.8724, 0.1668, 0.7159)
H (0.3724, 0.6668, 0.7841)
H (0.8724, 0.3332, 0.2159)
H (0.8773, 0.8945, 0.3723)
H (0.3773, 0.1055, 0.6277)
H (0.8773, 0.6055, 0.8723)
H (0.3773, 0.3945, 0.1277)
H (0.6595, 0.9759, 0.4804)
H (0.1595, 0.0241, 0.5196)
H (0.6595, 0.5241, 0.9804)
H (0.1595, 0.4759, 0.0196)
Li (0.7682, 0.8800, 0.0487)
Li (0.2682, 0.1200, 0.9513)
Li (0.7682, 0.6200, 0.5487)
Li (0.2682, 0.3800, 0.4513)
O (0.9905, 0.9037, 0.2136)
O (0.4905, 0.0963, 0.7864)
O (0.9905, 0.5963, 0.7136)
O (0.4905, 0.4037, 0.2864)
O (0.3801, 0.9250, 0.0908)
O (0.8801, 0.0750, 0.9092)
O (0.3801, 0.5750, 0.5908)
O (0.8801, 0.4250, 0.4092)
O (0.8295, 0.8941, 0.4699)
O (0.3295, 0.1059, 0.5301)
O (0.8295, 0.6059, 0.9699)
O (0.3295, 0.3941, 0.0301)


[5]
LiH2CO3 | GGA-PBE | optimized geometry

Computed properties:
uncorrected energy	-5.645	eV per atom
total magnetization	0.1475	μB/atom

Lattice parameters (Å, degrees): 4.4810 6.3527 10.1779 90.00 90.00 90.00
Last column: magnetic moment on the atom in μB.
Atoms (fractional coordinates):
Li (0.2357, 0.3791, 0.5597)  0.00
Li (0.7357, 0.6209, 0.4403)  0.00
Li (0.7357, 0.8791, 0.9403)  0.00
Li (0.2357, 0.1209, 0.0597)  0.00
H (0.6120, 0.4156, 0.7955)  0.01
H (0.1120, 0.5844, 0.2045)  0.01
H (0.1120, 0.9156, 0.7045)  0.01
H (0.6120, 0.0844, 0.2955)  0.01
H (0.1237, 0.4432, 0.8962)  -0.01
H (0.6237, 0.5568, 0.1038)  -0.01
H (0.6237, 0.9432, 0.6038)  -0.01
H (0.1237, 0.0568, 0.3962)  -0.01
C (0.7646, 0.4315, 0.7105)  0.00
C (0.2646, 0.5685, 0.2895)  0.00
C (0.2646, 0.9315, 0.7895)  0.00
C (0.7646, 0.0685, 0.2105)  0.00
O (0.1595, 0.4120, 0.9923)  0.76
O (0.6595, 0.5880, 0.0077)  0.76
O (0.6595, 0.9120, 0.5077)  0.76
O (0.1595, 0.0880, 0.4923)  0.76
O (0.0427, 0.4394, 0.7336)  0.04
O (0.5427, 0.5606, 0.2664)  0.04
O (0.5427, 0.9394, 0.7664)  0.04
O (0.0427, 0.0606, 0.2336)  0.04
O (0.6527, 0.4409, 0.5960)  0.06
O (0.1527, 0.5591, 0.4040)  0.06
O (0.1527, 0.9409, 0.9040)  0.06
O (0.6527, 0.0591, 0.0960)  0.06


[6]
MgH8C6S2N2O8 | GGA-PBE | optimized geometry

Computed properties:
uncorrected energy	-6.321	eV per atom
total magnetization	0.0000	μB/atom

Lattice parameters (Å, degrees): 5.1673 7.4704 8.4528 82.65 80.78 71.14
Atoms (fractional coordinates):
Mg (0.0000, 0.0000, 0.0000)
H (0.2631, 0.2091, 0.7794)
H (0.7369, 0.7909, 0.2206)
H (0.5075, 0.9827, 0.1700)
H (0.4925, 0.0173, 0.8300)
H (0.2379, 0.6274, 0.0975)
H (0.7621, 0.3726, 0.9025)
H (0.4656, 0.7006, 0.9835)
H (0.5344, 0.2994, 0.0165)
C (0.4737, 0.4170, 0.5375)
C (0.5263, 0.5830, 0.4625)
C (0.0968, 0.2917, 0.2038)
C (0.9032, 0.7083, 0.7962)
C (0.1485, 0.6225, 0.6782)
C (0.8515, 0.3775, 0.3218)
S (0.7045, 0.2231, 0.4487)
S (0.2955, 0.7769, 0.5513)
N (0.2610, 0.4392, 0.6579)
N (0.7390, 0.5608, 0.3421)
O (0.2827, 0.7444, 0.0512)
O (0.7173, 0.2556, 0.9488)
O (0.2910, 0.0774, 0.8287)
O (0.7090, 0.9226, 0.1713)
O (0.2401, 0.3950, 0.1356)
O (0.7599, 0.6050, 0.8644)
O (0.1458, 0.1162, 0.1851)
O (0.8542, 0.8838, 0.8149)


[7]
MgHC2O | GGA-PBE | optimized geometry

Computed properties:
uncorrected energy	-4.805	eV per atom
total magnetization	0.0000	μB/atom

Lattice parameters (Å, degrees): 2.7032 7.2388 2.7032 90.00 90.00 90.00
Atoms (fractional coordinates):
H (0.0000, 0.0000, 0.0000)
Mg (0.5000, 0.5000, 0.5000)
C (0.0000, 0.0000, 0.5000)
C (0.5000, 0.0000, 0.0000)
O (0.0000, 0.5000, 0.0000)


[8]
MgH10CO8 | GGA-PBE | optimized geometry

Computed properties:
uncorrected energy	-5.501	eV per atom
total magnetization	0.0000	μB/atom

Lattice parameters (Å, degrees): 7.2509 7.6824 12.6419 90.00 102.26 90.00
Atoms (fractional coordinates):
Mg (0.0000, 0.5000, 0.5000)
Mg (0.0000, 0.0000, 0.0000)
Mg (0.5000, 0.5000, 0.0000)
Mg (0.5000, 0.0000, 0.5000)
H (0.3630, 0.6297, 0.1450)
H (0.6370, 0.1297, 0.3550)
H (0.6370, 0.3703, 0.8550)
H (0.3630, 0.8703, 0.6450)
H (0.7427, 0.5554, 0.8577)
H (0.2573, 0.0554, 0.6423)
H (0.2573, 0.4446, 0.1423)
H (0.7427, 0.9446, 0.3577)
H (0.4453, 0.7140, 0.8297)
H (0.5547, 0.2140, 0.6703)
H (0.5547, 0.2860, 0.1703)
H (0.4453, 0.7860, 0.3297)
H (0.7009, 0.2115, 0.1037)
H (0.2991, 0.7115, 0.3963)
H (0.2991, 0.7885, 0.8963)
H (0.7009, 0.2885, 0.6037)
H (0.0927, 0.6607, 0.0579)
H (0.9073, 0.1607, 0.4421)
H (0.9073, 0.3393, 0.9421)
H (0.0927, 0.8393, 0.5579)
H (0.8819, 0.7000, 0.0766)
H (0.1181, 0.2000, 0.4234)
H (0.1181, 0.3000, 0.9234)
H (0.8819, 0.8000, 0.5766)
H (0.9767, 0.6752, 0.3112)
H (0.0233, 0.1752, 0.1888)
H (0.0233, 0.3248, 0.6888)
H (0.9767, 0.8248, 0.8112)
H (0.9007, 0.5002, 0.6954)
H (0.0993, 0.0002, 0.8046)
H (0.0993, 0.4998, 0.3046)
H (0.9007, 0.9998, 0.1954)
H (0.3808, 0.3931, 0.5639)
H (0.6192, 0.8931, 0.9361)
H (0.6192, 0.6069, 0.4361)
H (0.3808, 0.1069, 0.0639)
H (0.3600, 0.5730, 0.6203)
H (0.6400, 0.0730, 0.8797)
H (0.6400, 0.4270, 0.3797)
H (0.3600, 0.9270, 0.1203)
C (0.6604, 0.7502, 0.6948)
C (0.3396, 0.2502, 0.8052)
C (0.3396, 0.2498, 0.3052)
C (0.6604, 0.7498, 0.1948)
O (0.4885, 0.7229, 0.7090)
O (0.5115, 0.2229, 0.7910)
O (0.5115, 0.2771, 0.2910)
O (0.4885, 0.7771, 0.2090)
O (0.6857, 0.8477, 0.6159)
O (0.3143, 0.3477, 0.8841)
O (0.3143, 0.1523, 0.3841)
O (0.6857, 0.6523, 0.1159)
O (0.8023, 0.6779, 0.7599)
O (0.1977, 0.1779, 0.7401)
O (0.1977, 0.3221, 0.2401)
O (0.8023, 0.8221, 0.2599)
O (0.2930, 0.5372, 0.0934)
O (0.7070, 0.0372, 0.4066)
O (0.7070, 0.4628, 0.9066)
O (0.2930, 0.9628, 0.5934)
O (0.4229, 0.7281, 0.9056)
O (0.5771, 0.2281, 0.5944)
O (0.5771, 0.2719, 0.0944)
O (0.4229, 0.7719, 0.4056)
O (0.9885, 0.7528, 0.5459)
O (0.0115, 0.2528, 0.9541)
O (0.0115, 0.2472, 0.4541)
O (0.9885, 0.7472, 0.0459)
O (0.0749, 0.5948, 0.3533)
O (0.9251, 0.0948, 0.1467)
O (0.9251, 0.4052, 0.6467)
O (0.0749, 0.9052, 0.8533)
O (0.2906, 0.4884, 0.5670)
O (0.7094, 0.9884, 0.9330)
O (0.7094, 0.5116, 0.4330)
O (0.2906, 0.0116, 0.0670)


[9]
MgH6CO6 | GGA-PBE | optimized geometry

Computed properties:
uncorrected energy	-5.734	eV per atom
total magnetization	0.0000	μB/atom

Lattice parameters (Å, degrees): 5.4607 7.7957 11.8677 91.38 90.00 90.00
Atoms (fractional coordinates):
Mg (0.0826, 0.2584, 0.1465)
Mg (0.4174, 0.7584, 0.6465)
Mg (0.9174, 0.7416, 0.8535)
Mg (0.5826, 0.2416, 0.3535)
H (0.1642, 0.5923, 0.0966)
H (0.3358, 0.0923, 0.5966)
H (0.8358, 0.4077, 0.9034)
H (0.6642, 0.9077, 0.4034)
H (0.9233, 0.5874, 0.1664)
H (0.5767, 0.0874, 0.6664)
H (0.0767, 0.4126, 0.8336)
H (0.4233, 0.9126, 0.3336)
H (0.1370, 0.9082, 0.0812)
H (0.3630, 0.4082, 0.5812)
H (0.8630, 0.0918, 0.9188)
H (0.6370, 0.5918, 0.4188)
H (0.0925, 0.9326, 0.2129)
H (0.4075, 0.4326, 0.7129)
H (0.9075, 0.0674, 0.7871)
H (0.5925, 0.5674, 0.2871)
H (0.3250, 0.1847, 0.7933)
H (0.1750, 0.6847, 0.2933)
H (0.6750, 0.8153, 0.2067)
H (0.8250, 0.3153, 0.7067)
H (0.3777, 0.2810, 0.9122)
H (0.1223, 0.7810, 0.4122)
H (0.6223, 0.7190, 0.0878)
H (0.8777, 0.2190, 0.5878)
C (0.1308, 0.2369, 0.4141)
C (0.3692, 0.7369, 0.9141)
C (0.8692, 0.7631, 0.5859)
C (0.6308, 0.2631, 0.0859)
O (0.0875, 0.5299, 0.1599)
O (0.4125, 0.0299, 0.6599)
O (0.9125, 0.4701, 0.8401)
O (0.5875, 0.9701, 0.3401)
O (0.0835, 0.9920, 0.1405)
O (0.4165, 0.4920, 0.6405)
O (0.9165, 0.0080, 0.8595)
O (0.5835, 0.5080, 0.3595)
O (0.4058, 0.2682, 0.0543)
O (0.0942, 0.7682, 0.5543)
O (0.5942, 0.7318, 0.9457)
O (0.9058, 0.2318, 0.4457)
O (0.1972, 0.2397, 0.3091)
O (0.3028, 0.7397, 0.8091)
O (0.8028, 0.7603, 0.6909)
O (0.6972, 0.2603, 0.1909)
O (0.8110, 0.2627, 0.0130)
O (0.6890, 0.7627, 0.5130)
O (0.1890, 0.7373, 0.9870)
O (0.3110, 0.2373, 0.4870)
O (0.3380, 0.2986, 0.8305)
O (0.1620, 0.7986, 0.3305)
O (0.6620, 0.7014, 0.1695)
O (0.8380, 0.2014, 0.6695)